InSbP | Alexandria via LeMat-Bulk | PBE | relaxed; mass density = 5268 kg/m3; offset from the most stable computed form = 0.059 eV/atom; uncorrected energy = -4.0321 eV per atom; uncorrected formation energy = 1.342 kcal/mol of atoms
1.0
3.259 0.000 0.000
1.270 6.518 0.000
0.369 -0.071 7.942
In Sb P
2 2 2
direct
0.000 0.000 0.000
0.425 0.281 0.262
0.621 0.594 0.967
0.737 0.540 0.604
0.543 0.971 0.524
0.972 0.109 0.670